Density functional theory data (PBE) for a relaxed H2Pd5Pb2 crystal.

The total energy comes out at -4.626 eV/atom. For the energy relative to the lowest polymorph listed for this composition, the calculation gives 0.0 meV per atom. The crystal system is monoclinic.

Cell: 10.2151 3.9075 6.7160 Å, 90.00 95.77 90.00°
With the nearest neighbours (Å) after each atom.
Space group C2/m (No. 12)
Symmetry-distinct sites (fractional):
H  0.1579  0.0000  0.1536 [4 per cell]  4 Pd 1.83-2.02
Pd  0.0000  0.0000  0.0000 [2 per cell]  2 H 1.83
Pd  0.1396  0.0000  0.4294 [4 per cell]  1 H 1.88
Pd  0.2051  0.5000  0.1402 [4 per cell]  2 H 2.02
Pb  0.0856  0.5000  0.7218 [4 per cell]  1 H 2.67, 7 Pd 2.86-2.97

Density functional theory data (PBE) for a relaxed H2Pd5Pb2 crystal.

The total energy comes out at -4.617 eV/atom. For the energy relative to the lowest polymorph listed for this composition, the calculation gives 9.0 meV per atom. The crystal system is monoclinic.

Cell: 11.1328 4.1262 6.5551 Å, 90.00 109.23 90.00°
With the nearest neighbours (Å) after each atom.
Space group C2/m (No. 12)
Symmetry-distinct sites (fractional):
H  0.1584  0.0000  0.4622 [4 per cell]  5 Pd 1.86-2.06
Pd  0.0000  0.0000  0.5000 [2 per cell]  2 H 1.86
Pd  0.1200  0.0000  0.1487 [4 per cell]  1 H 1.96
Pd  0.1602  0.5000  0.4565 [4 per cell]  3 H 1.91-2.06
Pb  0.1070  0.5000  0.8464 [4 per cell]  7 Pd 2.81-3.03

Copy entry 2 word for word.
Density functional theory data (PBE) for a relaxed H2Pd5Pb2 crystal.

The total energy comes out at -4.617 eV/atom. For the energy relative to the lowest polymorph listed for this composition, the calculation gives 9.0 meV per atom. The crystal system is monoclinic.

Cell: 11.1328 4.1262 6.5551 Å, 90.00 109.23 90.00°
With the nearest neighbours (Å) after each atom.
Space group C2/m (No. 12)
Symmetry-distinct sites (fractional):
H  0.1584  0.0000  0.4622 [4 per cell]  5 Pd 1.86-2.06
Pd  0.0000  0.0000  0.5000 [2 per cell]  2 H 1.86
Pd  0.1200  0.0000  0.1487 [4 per cell]  1 H 1.96
Pd  0.1602  0.5000  0.4565 [4 per cell]  3 H 1.91-2.06
Pb  0.1070  0.5000  0.8464 [4 per cell]  7 Pd 2.81-3.03